Density functional theory data (SCAN) for HfTi2Co2 at its PBEsol-relaxed geometry.

Geometry as CIF:
```
data_HfTi2Co2
_symmetry_space_group_name_H-M 'I 4/m m m'
_symmetry_Int_Tables_number 139
_symmetry_space_group_name_Hall '-I 4 2'
_cell_length_a 3.995
_cell_length_b 3.995
_cell_length_c 9.450
_cell_angle_alpha 90.00
_cell_angle_beta 90.00
_cell_angle_gamma 90.00
loop_
_atom_site_label
_atom_site_fract_x
_atom_site_fract_y
_atom_site_fract_z
_atom_site_occupancy
Hf1 0.000 0.000 0.000 1
Ti1 0.000 0.500 0.250 1
Co1 0.000 0.000 0.387 1
```

Computed properties:
The calculated total energy is -130.356 eV per formula unit.

---

Density functional theory data (SCAN) for Hf2TiCo2 at its PBEsol-relaxed geometry.

Geometry as CIF:
```
data_Hf2TiCo2
_symmetry_space_group_name_H-M 'P 4/m b m'
_symmetry_Int_Tables_number 127
_symmetry_space_group_name_Hall '-P 4 2ab'
_cell_length_a 6.841
_cell_length_b 6.841
_cell_length_c 3.312
_cell_angle_alpha 90.00
_cell_angle_beta 90.00
_cell_angle_gamma 90.00
loop_
_atom_site_label
_atom_site_fract_x
_atom_site_fract_y
_atom_site_fract_z
_atom_site_occupancy
Hf1 0.170 0.330 0.000 1
Ti1 0.000 0.000 0.500 1
Co1 0.129 0.629 0.500 1
```

Computed properties:
The calculated total energy is -177.011 eV per formula unit.

---

| no. | spin magnetization (μB per formula unit) | formation enthalpy at 0 K (eV per atom) |
| --- | --- | --- |
| 1 | 0.00 | -0.203 |
| 2 | 0.00 | -0.205 |